Run A
! SmLu2Hg, relaxed, DFT PBE-GGA; values from VASP
! density of states at the Fermi level	3.26	states/eV/cell
! density	10.13	Mg/m³
! symmetry	R-3m
&SYSTEM
  ibrav = 0, nat = 4, ntyp = 3
/
ATOMIC_SPECIES
Lu 174.97 Lu.upf
Sm 150.36 Sm.upf
Hg 200.59 Hg.upf
ATOMIC_POSITIONS angstrom
Lu 1.782 1.029 2.353
Lu 5.346 3.086 8.096
Sm 3.564 2.058 5.224
Hg 0.000 0.000 0.000
CELL_PARAMETERS angstrom
3.564 0.000 0.000
1.782 3.086 0.000
1.782 1.029 10.449



Run B
! SmLu2Hg, relaxed, DFT PBE-GGA; values from VASP
! density of states at the Fermi level	4.14	states/eV/cell
! density	10.35	Mg/m³
! symmetry	P4/mmm
&SYSTEM
  ibrav = 0, nat = 4, ntyp = 3
/
ATOMIC_SPECIES
Lu 174.97 Lu.upf
Hg 200.59 Hg.upf
Sm 150.36 Sm.upf
ATOMIC_POSITIONS angstrom
Lu 0.000 0.000 1.930
Lu 0.000 0.000 6.952
Hg 1.779 1.779 0.000
Sm 1.779 1.779 4.441
CELL_PARAMETERS angstrom
3.558 0.000 0.000
0.000 3.558 0.000
0.000 0.000 8.882



Run C
! SmLu2Hg, relaxed, DFT PBE-GGA; values from VASP
! density of states at the Fermi level	5.19	states/eV/cell
! density	10.68	Mg/m³
! symmetry	P4/mmm
&SYSTEM
  ibrav = 0, nat = 4, ntyp = 3
/
ATOMIC_SPECIES
Sm 150.36 Sm.upf
Lu 174.97 Lu.upf
Hg 200.59 Hg.upf
ATOMIC_POSITIONS angstrom
Sm -3.417 2.189 0.804
Lu -0.066 2.352 0.455
Lu -1.504 -0.395 1.823
Hg -1.846 0.233 -1.473
CELL_PARAMETERS angstrom
-3.693 0.465 -2.946
-3.008 -0.790 3.646
-0.133 4.703 0.909



Quick one: least stable of them? run C



Run A
! Tb2LuHg, relaxed, DFT PBE-GGA; values from VASP
! density of states at the Fermi level	4.97	states/eV/cell
! density	10.42	Mg/m³
! symmetry	Fm-3m
&SYSTEM
  ibrav = 0, nat = 4, ntyp = 3
/
ATOMIC_SPECIES
Tb 158.93 Tb.upf
Hg 200.59 Hg.upf
Lu 174.97 Lu.upf
ATOMIC_POSITIONS angstrom
Tb 2.693 1.555 1.099
Tb 8.080 4.665 3.298
Hg 5.386 3.110 2.199
Lu 0.000 0.000 0.000
CELL_PARAMETERS angstrom
5.386 0.000 0.000
2.693 4.665 0.000
2.693 1.555 4.398



Run B
! Tb2LuHg, relaxed, DFT PBE-GGA; values from VASP
! density of states at the Fermi level	3.67	states/eV/cell
! density	9.22	Mg/m³
! symmetry	R-3m
&SYSTEM
  ibrav = 0, nat = 4, ntyp = 3
/
ATOMIC_SPECIES
Hg 200.59 Hg.upf
Tb 158.93 Tb.upf
Lu 174.97 Lu.upf
ATOMIC_POSITIONS angstrom
Hg 0.000 0.000 0.000
Tb 1.739 1.004 8.733
Tb 5.218 3.013 3.185
Lu 3.479 2.009 5.959
CELL_PARAMETERS angstrom
3.479 0.000 0.000
1.739 3.013 0.000
1.739 1.004 11.919



Quick one: least stable of them? run B